Ac2PmMg6: optimized geometry, PBE.

Computed properties:
energy relative to the elements	-0.06	eV/atom
calculated total energy	-2.5687	eV per atom
total magnetization	0.000	μB/atom

Lattice parameters (Å, degrees): 9.331 9.331 3.592 90.00 90.00 120.00
Atoms (fractional coordinates):
Ac  0.667  0.333  0.000
Ac  0.333  0.667  0.000
Mg  0.674  0.674  0.500
Mg  0.000  0.674  0.500
Mg  0.326  0.326  0.500
Mg  0.326  0.000  0.500
Mg  0.000  0.326  0.500
Mg  0.674  0.000  0.500
Pm  0.000  0.000  0.000



Ac5Pm4Mg: optimized geometry, PBE.

Computed properties:
energy relative to the elements	0.08	eV/atom
calculated total energy	-4.0385	eV per atom
total magnetization	0.000	μB/atom

Lattice parameters (Å, degrees): 4.335 4.335 20.606 90.00 90.00 90.00
Atoms (fractional coordinates):
Ac  0.500  0.500  0.094
Ac  0.500  0.500  0.500
Ac  0.500  0.500  0.906
Ac  0.500  0.500  0.695
Ac  0.500  0.500  0.305
Mg  0.000  0.000  0.000
Pm  0.000  0.000  0.404
Pm  0.000  0.000  0.203
Pm  0.000  0.000  0.596
Pm  0.000  0.000  0.797



Ac2PmMg5: optimized geometry, PBE.

Computed properties:
energy relative to the elements	-0.06	eV/atom
calculated total energy	-2.6802	eV per atom
total magnetization	0.000	μB/atom

Lattice parameters (Å, degrees): 5.438 5.438 9.031 107.52 107.52 90.00
Atoms (fractional coordinates):
Mg  0.108  0.608  0.216
Mg  0.392  0.892  0.784
Mg  0.608  0.108  0.216
Mg  0.892  0.392  0.784
Mg  0.500  0.500  0.000
Ac  0.260  0.260  0.520
Ac  0.740  0.740  0.480
Pm  0.000  0.000  0.000



What is the formula in the second record?
Ac5Pm4Mg